Record 1
## MgPdF6 (PBE)

Data for an optimized crystal structure of MgPdF6.

a b c (Å): 4.982 4.982 9.300
angles (deg): 90.00 90.00 120.00
Fractional positions:
Mg 0.333 0.667 0.250
Mg 0.667 0.333 0.750
Pd 0.000 0.000 0.000
Pd 0.000 0.000 0.500
F 0.016 0.326 0.122
F 0.016 0.690 0.378
F 0.310 0.326 0.378
F 0.310 0.984 0.122
F 0.326 0.016 0.622
F 0.326 0.310 0.878
F 0.674 0.690 0.122
F 0.674 0.984 0.378
F 0.690 0.016 0.878
F 0.690 0.674 0.622
F 0.984 0.310 0.622
F 0.984 0.674 0.878

Calculated values
Size of the total moment ... 0.00 μB per formula unit
Space group ... P-31c (163)
VASP energy ... -4.3482 eV/atom


Record 2
## MgPd2F (PBE)

Data for an optimized crystal structure of MgPd2F.

a b c (Å): 5.611 5.611 5.611
angles (deg): 101.73 101.73 126.40
Fractional positions:
Mg 0.000 0.000 0.000
Mg 0.750 0.250 0.500
Pd 0.174 0.625 0.049
Pd 0.375 0.424 0.549
Pd 0.576 0.125 0.951
Pd 0.875 0.826 0.451
F 0.250 0.750 0.500
F 0.500 0.500 0.000

Calculated values
Size of the total moment ... 0.00 μB per formula unit
Space group ... I-42d (122)
Distance to the lowest polymorph of the same formula ... 0.00 eV per formula unit


Record 3
## MgPd2F6 (PBE)

Data for an optimized crystal structure of MgPd2F6.

a b c (Å): 7.011 7.011 5.073
angles (deg): 97.13 97.13 100.44
Fractional positions:
Mg 0.084 0.916 0.750
Mg 0.916 0.084 0.250
Pd 0.232 0.448 0.872
Pd 0.448 0.232 0.372
Pd 0.552 0.768 0.628
Pd 0.768 0.552 0.128
F 0.037 0.650 0.852
F 0.059 0.179 0.626
F 0.179 0.059 0.126
F 0.312 0.503 0.478
F 0.350 0.963 0.648
F 0.497 0.688 0.022
F 0.503 0.312 0.978
F 0.650 0.037 0.352
F 0.688 0.497 0.522
F 0.821 0.941 0.874
F 0.941 0.821 0.374
F 0.963 0.350 0.148

Calculated values
Size of the total moment ... 3.96 μB per formula unit
Space group ... C2/c (15)
VASP energy ... -4.3477 eV/atom


Record 4
## MgPd2PtF (PBE)

Data for an optimized crystal structure of MgPd2PtF.

a b c (Å): 4.346 4.346 4.484
angles (deg): 90.00 90.00 90.00
Fractional positions:
Mg 0.000 0.000 0.000
Pd 0.000 0.500 0.500
Pd 0.500 0.000 0.500
Pt 0.500 0.500 0.000
F 0.500 0.500 0.500

Calculated values
Size of the total moment ... 0.00 μB per formula unit
Space group ... P4/mmm (123)
VASP energy ... -3.9496 eV/atom


Record 5
## Rb2MgPdF6 (PBE)

Data for an optimized crystal structure of Rb2MgPdF6.

a b c (Å): 6.014 6.014 6.014
angles (deg): 60.00 60.00 60.00
Fractional positions:
Rb 0.250 0.250 0.250
Rb 0.750 0.750 0.750
Mg 0.000 0.000 0.000
Pd 0.500 0.500 0.500
F 0.239 0.239 0.761
F 0.239 0.761 0.239
F 0.239 0.761 0.761
F 0.761 0.239 0.239
F 0.761 0.239 0.761
F 0.761 0.761 0.239

Calculated values
Size of the total moment ... 2.00 μB per formula unit
Space group ... Fm-3m (225)
VASP energy ... -4.5293 eV/atom


Record 6
## Rb2MgPd3F12 (PBE)

Data for an optimized crystal structure of Rb2MgPd3F12.

a b c (Å): 7.454 7.454 7.454
angles (deg): 63.80 63.80 63.80
Fractional positions:
Rb 0.153 0.153 0.153
Rb 0.847 0.847 0.847
Mg 0.500 0.500 0.500
Pd 0.000 0.500 0.500
Pd 0.500 0.000 0.500
Pd 0.500 0.500 0.000
F 0.181 0.181 0.553
F 0.181 0.553 0.181
F 0.188 0.570 0.570
F 0.430 0.430 0.812
F 0.430 0.812 0.430
F 0.447 0.819 0.819
F 0.553 0.181 0.181
F 0.570 0.188 0.570
F 0.570 0.570 0.188
F 0.812 0.430 0.430
F 0.819 0.447 0.819
F 0.819 0.819 0.447

Calculated values
Size of the total moment ... 0.00 μB per formula unit
Space group ... R-3m (166)
VASP energy ... -4.3145 eV/atom


Record 7
## RbMgPdF6 (PBE)

Data for an optimized crystal structure of RbMgPdF6.

a b c (Å): 7.456 7.456 7.456
angles (deg): 121.99 115.01 92.71
Fractional positions:
Rb 0.352 0.102 0.250
Rb 0.648 0.898 0.750
Mg 0.000 0.000 0.500
Mg 0.000 0.500 0.000
Pd 0.000 0.500 0.500
Pd 0.500 0.500 0.000
F 0.062 0.419 0.237
F 0.062 0.825 0.643
F 0.066 0.816 0.250
F 0.318 0.175 0.737
F 0.318 0.581 0.143
F 0.326 0.576 0.750
F 0.674 0.424 0.250
F 0.682 0.419 0.857
F 0.682 0.825 0.263
F 0.934 0.184 0.750
F 0.938 0.175 0.357
F 0.938 0.581 0.763

Calculated values
Size of the total moment ... 0.00 μB per formula unit
Space group ... Imma (74)
VASP energy ... -4.5165 eV/atom


Record 8
## Mg2SbPdF (PBE)

Data for an optimized crystal structure of Mg2SbPdF.

a b c (Å): 5.423 5.423 4.237
angles (deg): 90.00 90.00 90.00
Fractional positions:
Mg 0.000 0.500 0.000
Mg 0.500 0.000 0.000
Sb 0.000 0.000 0.000
Pd 0.500 0.500 0.500
F 0.000 0.000 0.500

Calculated values
Size of the total moment ... 0.00 μB per formula unit
Space group ... P4/mmm (123)
VASP energy ... -3.1191 eV/atom